A relaxed Tm2AlZn crystal, computed with PBE-GGA.

CIF file:
```
data_Tm2AlZn
_space_group_name_H-M_alt 'P 4/m m m'
_space_group_IT_number 123
_space_group_name_Hall '-P 4 2'
_cell_length_a 3.526
_cell_length_b 3.526
_cell_length_c 7.117
_cell_angle_alpha 90.00
_cell_angle_beta 90.00
_cell_angle_gamma 90.00
loop_
_atom_site_label
_atom_site_fract_x
_atom_site_fract_y
_atom_site_fract_z
Tm1 0.000 0.000 0.245
Al1 0.500 0.500 0.500
Zn1 0.500 0.500 0.000
```

Values from the calculation:
* E: -15.49 eV/cell
* DFT formation energy: -0.3832 eV/atom
* energy relative to the lowest polymorph listed for this composition: 0.000 eV per atom